VASP calculation (PBE) on crystalline La6Te5I at its relaxed geometry.

Geometry as extended XYZ:
```
12
Lattice="-0.4345 7.8907 -0.8061 -1.1241 3.3254 7.1281 6.2407 2.1249 4.4212" Properties=species:S:1:pos:R:3 pbc="T T T"
La -0.4030 2.8577 1.6571
La 2.9555 6.4784 9.1963
I 0.0000 0.0000 0.0000
Te 3.8299 5.9212 3.7418
La -1.1557 8.3584 4.6649
La 1.3944 4.6715 5.3648
La 3.2877 8.6695 5.3784
Te 1.7319 1.8186 3.8531
Te 3.3847 3.6317 7.6962
Te 0.8522 7.4198 7.0014
La 1.7266 6.8625 1.5468
Te -0.7793 5.6080 3.1610
```

Calculated values
formation energy from raw total energies: -1.49 eV per atom
size of the total moment: 0.00 Bohr magnetons per cell
space-group type: C2/m, No. 12